An optimized crystal structure of Cs2ScVF6. Source: the Alexandria database, functional PBE+U.

```
Cs2ScVF6
1.0
-3.0977 3.0977 4.4600
3.0977 -3.0977 4.4600
3.0977 3.0977 -4.4600
Cs Sc V F
2 1 1 6
Direct
0.2500 0.7500 0.5000 Cs
0.7500 0.2500 0.5000 Cs
0.0000 0.0000 0.0000 Sc
0.5000 0.5000 0.0000 V
0.2524 0.2524 0.5047 F
0.2524 0.7476 0.0000 F
0.2581 0.2581 0.0000 F
0.7419 0.7419 0.0000 F
0.7476 0.2524 0.0000 F
0.7476 0.7476 0.4953 F
```

Properties
space group = No. 139
raw total energy = -5.55 eV/atom